VASP calculation (GGA+U) on a relaxed K2HoV2O6 crystal.

```
K2HoV2O6
1.0
6.1020 0.0000 0.0000
3.0510 5.2845 0.0000
3.0510 1.7615 6.0164
Ho K V O
1 2 2 6
Cartesian
0.0000 0.0000 0.0000
9.1530 5.2845 3.7607
3.0510 1.7615 2.2557
6.1020 3.5230 4.4727
6.1020 3.5230 1.5437
6.1020 5.2743 4.6146
4.5853 4.3986 1.4018
4.5853 2.6474 4.6146
7.6186 4.3986 1.4018
6.1020 1.7717 1.4018
7.6186 2.6474 4.6146
```

Output
Theoretical density, Mg/m³: 3.77
E_tot, eV/atom: -6.8472